DFT (GGA-PBE) results for NaAl4Se7 after structural relaxation.

a = 15.7704 Å, b = 6.7440 Å, c = 6.2834 Å
α = 90.00°, β = 90.00°, γ = 90.00°
Closest atoms and distances in Å follow each position.
Space group Pmn2_1 (No. 31)
Unique sites:
Na1 0.0000 0.9997 0.0000 [2 per cell]  3 Se 2.99-3.08
Al1 0.1224 0.3310 0.5658 [4 per cell]  4 Se 2.40-2.48
Al2 0.2453 0.8159 0.5438 [4 per cell]  4 Se 2.37-2.48
Se1 0.0000 0.1375 0.4674 [2 per cell]  2 Al 2.41
Se2 0.1172 0.6616 0.4258 [4 per cell]  2 Al 2.39-2.40
Se3 0.1237 0.3322 0.9480 [4 per cell]  2 Al 2.37-2.40
Se4 0.2471 0.8345 0.9375 [4 per cell]  3 Al 2.45-2.48

Summary:
electronic total energy = -4.197 eV/atom